Entry 1:
# PuSiTc2N, relaxed, DFT PBE
# **Density of states at the Fermi level**: 2.142 states/eV/atom
# **Formation energy from raw total energies**: -0.5958 eV/atom
# **Electronic total energy**: -10.36 eV/atom
data_PuSiTc2N
_space_group_name_H-M_alt 'C m c m'
_space_group_IT_number 63
_space_group_name_Hall '-C 2c 2'
_cell_length_a 3.3798
_cell_length_b 11.7735
_cell_length_c 7.5311
_cell_angle_alpha 90.00
_cell_angle_beta 90.00
_cell_angle_gamma 90.00
loop_
_atom_site_label
_atom_site_type_symbol
_atom_site_fract_x
_atom_site_fract_y
_atom_site_fract_z
Pu1 Pu 0.0000 0.0384 0.2500
Si1 Si 0.0000 0.2437 0.7500
Tc1 Tc 0.0000 0.3364 0.0518
N1 N 0.0000 0.5000 0.0000


Entry 2:
# PaAsRu2, relaxed, DFT PBE
# **Density of states at the Fermi level**: 0.548 states/eV/atom
# **Energy above the lowest structure with this stoichiometry**: 0.097 eV per atom
# **Electronic total energy**: -8.62 eV/atom
# **Energy relative to the elements**: -444 meV/atom
data_PaAsRu2
_space_group_name_H-M_alt 'P 4/m m m'
_space_group_IT_number 123
_space_group_name_Hall '-P 4 2'
_cell_length_a 4.2316
_cell_length_b 4.2316
_cell_length_c 3.8516
_cell_angle_alpha 90.00
_cell_angle_beta 90.00
_cell_angle_gamma 90.00
loop_
_atom_site_label
_atom_site_type_symbol
_atom_site_fract_x
_atom_site_fract_y
_atom_site_fract_z
Pa1 Pa 0.0000 0.0000 0.0000
As1 As 0.5000 0.5000 0.0000
Ru1 Ru 0.0000 0.5000 0.5000